Record 1
This record from the Open Quantum Materials Database describes an optimized crystal structure of BeFeCuRe. The functional is PBE.

Calculated values
- Crystal system: cubic
- E above lowest polymorph: 27.4 kJ/mol of atoms

The structure in CIF format:
```
data_BeFeCuRe
_cell_length_a 5.643
_cell_length_b 5.643
_cell_length_c 5.643
_cell_angle_alpha 90.00
_cell_angle_beta 90.00
_cell_angle_gamma 90.00
_space_group_name_H-M_alt 'F -4 3 m'
_space_group_IT_number 216
_space_group_name_Hall 'F -4 2 3'
loop_
_atom_site_label
_atom_site_type_symbol
_atom_site_fract_x
_atom_site_fract_y
_atom_site_fract_z
_atom_site_occupancy
Be1 Be 0.000 0.000 0.000 1
Fe1 Fe 0.250 0.250 0.750 1
Cu1 Cu 0.000 0.000 0.500 1
Re1 Re 0.250 0.250 0.250 1
```


Record 2
This record from the Open Quantum Materials Database describes an optimized crystal structure of BeFeCuRe. The functional is PBE.

Calculated values
- Crystal system: cubic
- E above lowest polymorph: 0.0 kJ/mol of atoms

The structure in CIF format:
```
data_BeFeCuRe
_cell_length_a 5.636
_cell_length_b 5.636
_cell_length_c 5.636
_cell_angle_alpha 90.00
_cell_angle_beta 90.00
_cell_angle_gamma 90.00
_space_group_name_H-M_alt 'F -4 3 m'
_space_group_IT_number 216
_space_group_name_Hall 'F -4 2 3'
loop_
_atom_site_label
_atom_site_type_symbol
_atom_site_fract_x
_atom_site_fract_y
_atom_site_fract_z
_atom_site_occupancy
Be1 Be 0.000 0.000 0.000 1
Fe1 Fe 0.000 0.000 0.500 1
Cu1 Cu 0.250 0.250 0.750 1
Re1 Re 0.250 0.250 0.250 1
```